This record from Alexandria describes a geometry-optimized Li2AcCdPd structure. The functional is PBE-GGA.

Results
**DFT formation energy**: -386 meV/atom
**Energy**: -3.1947 eV/atom

Cell and atoms, written as POSCAR:
```
Li2AcCdPd
1.0
-1.119 3.750 -1.665
-3.578 -1.715 -1.459
-0.630 0.529 7.048
Li Pd Cd Ac
2 1 1 1
Direct
0.051 0.051 0.102
0.702 0.202 0.405
0.844 0.844 0.688
0.190 0.690 0.381
0.425 0.425 0.849
```